Record 1
# Sc2InOs PBEsol optimized geometry
data_Sc2InOs
_chemical_formula_sum 'Sc2 In1 Os1'
_cell_length_a 4.6583
_cell_length_b 4.6583
_cell_length_c 4.6583
_cell_angle_alpha 60.00
_cell_angle_beta 60.00
_cell_angle_gamma 60.00
_space_group_name_H-M_alt 'P 1'
_space_group_IT_number 1
_space_group_name_Hall 'P 1'
loop_
_atom_site_label
_atom_site_type_symbol
_atom_site_fract_x
_atom_site_fract_y
_atom_site_fract_z
In1 In 0.5000 0.5000 0.5000
Os1 Os 0.2500 0.2500 0.2500
Sc1 Sc 0.0000 0.0000 0.0000
Sc2 Sc 0.7500 0.7500 0.7500
# E	-7.36	eV/atom
# size of the total moment	0.00	μB/f.u.
# density	9.18	Mg/m³
# space group	No. 216

=====

Record 2
# MnCd3As PBEsol optimized geometry
data_MnCd3As
_chemical_formula_sum 'Mn1 Cd3 As1'
_cell_length_a 4.9834
_cell_length_b 4.9834
_cell_length_c 4.9834
_cell_angle_alpha 90.00
_cell_angle_beta 90.00
_cell_angle_gamma 90.00
_space_group_name_H-M_alt 'P 1'
_space_group_IT_number 1
_space_group_name_Hall 'P 1'
loop_
_atom_site_label
_atom_site_type_symbol
_atom_site_fract_x
_atom_site_fract_y
_atom_site_fract_z
As1 As 0.5000 0.5000 0.5000
Mn1 Mn 0.0000 0.0000 0.0000
Cd1 Cd 0.0000 0.5000 0.0000
Cd2 Cd 0.0000 0.0000 0.5000
Cd3 Cd 0.5000 0.0000 0.0000
# E	-2.80	eV/atom
# size of the total moment	3.42	μB/f.u.
# density	6.27	Mg/m³
# space group	No. 221

=====

Record 3
# MoAs PBEsol optimized geometry
data_MoAs
_chemical_formula_sum 'Mo1 As1'
_cell_length_a 2.9685
_cell_length_b 2.9685
_cell_length_c 3.9735
_cell_angle_alpha 90.00
_cell_angle_beta 90.00
_cell_angle_gamma 116.11
_space_group_name_H-M_alt 'P 1'
_space_group_IT_number 1
_space_group_name_Hall 'P 1'
loop_
_atom_site_label
_atom_site_type_symbol
_atom_site_fract_x
_atom_site_fract_y
_atom_site_fract_z
Mo1 Mo 0.5000 0.5000 0.5000
As1 As 0.0000 0.0000 0.0000
# E	-8.17	eV/atom
# size of the total moment	0.00	μB/f.u.
# density	9.02	Mg/m³
# space group	No. 65

=====

Record 4
# BiB3Te PBEsol optimized geometry
data_BiB3Te
_chemical_formula_sum 'Bi1 B3 Te1'
_cell_length_a 4.7022
_cell_length_b 4.7022
_cell_length_c 4.7022
_cell_angle_alpha 90.00
_cell_angle_beta 90.00
_cell_angle_gamma 90.00
_space_group_name_H-M_alt 'P 1'
_space_group_IT_number 1
_space_group_name_Hall 'P 1'
loop_
_atom_site_label
_atom_site_type_symbol
_atom_site_fract_x
_atom_site_fract_y
_atom_site_fract_z
B1 B 0.0000 0.5000 0.0000
B2 B 0.0000 0.0000 0.5000
B3 B 0.5000 0.0000 0.0000
Te1 Te 0.5000 0.5000 0.5000
Bi1 Bi 0.0000 0.0000 0.0000
# E	-3.50	eV/atom
# size of the total moment	0.00	μB/f.u.
# density	5.89	Mg/m³
# formation energy (no corrections)	2.272	eV per atom
# space group	No. 221

=====

Record 5
# Li8CrS6 PBEsol optimized geometry
data_Li8CrS6
_chemical_formula_sum 'Li16 Cr2 S12'
_cell_length_a 6.7621
_cell_length_b 6.7621
_cell_length_c 13.1791
_cell_angle_alpha 90.00
_cell_angle_beta 90.00
_cell_angle_gamma 120.00
_space_group_name_H-M_alt 'P 1'
_space_group_IT_number 1
_space_group_name_Hall 'P 1'
loop_
_atom_site_label
_atom_site_type_symbol
_atom_site_fract_x
_atom_site_fract_y
_atom_site_fract_z
Li1 Li 0.3158 0.0000 0.7344
Li2 Li 0.3744 0.0000 0.3698
Li3 Li 0.6256 0.0000 0.8698
Li4 Li 0.6842 0.0000 0.2344
Li5 Li 0.3333 0.6667 0.0968
Li6 Li 0.3333 0.6667 0.5968
Li7 Li 0.6842 0.6842 0.7344
Li8 Li 0.6256 0.6256 0.3698
Li9 Li 0.3744 0.3744 0.8698
Li10 Li 0.0000 0.6842 0.2344
Li11 Li 0.3158 0.3158 0.2344
Li12 Li 0.0000 0.6256 0.8698
Li13 Li 0.6667 0.3333 0.5968
Li14 Li 0.6667 0.3333 0.0968
Li15 Li 0.0000 0.3744 0.3698
Li16 Li 0.0000 0.3158 0.7344
Cr1 Cr 0.0000 0.0000 0.5005
Cr2 Cr 0.0000 0.0000 0.0005
S1 S 0.3042 0.0000 0.5496
S2 S 0.6958 0.0000 0.0496
S3 S 0.3333 0.6667 0.2828
S4 S 0.0000 0.0000 0.3331
S5 S 0.0000 0.0000 0.8331
S6 S 0.3333 0.6667 0.7828
S7 S 0.6958 0.6958 0.5496
S8 S 0.0000 0.6958 0.0496
S9 S 0.3042 0.3042 0.0496
S10 S 0.6667 0.3333 0.7828
S11 S 0.6667 0.3333 0.2828
S12 S 0.0000 0.3042 0.5496
# E	-4.63	eV/atom
# size of the total moment	2.00	μB/f.u.
# density	1.91	Mg/m³
# formation energy (no corrections)	-1.143	eV per atom
# space group	No. 185

=====

Record 6
# VIr3 PBEsol optimized geometry
data_VIr3
_chemical_formula_sum 'V1 Ir3'
_cell_length_a 3.7949
_cell_length_b 3.7949
_cell_length_c 3.7949
_cell_angle_alpha 90.00
_cell_angle_beta 90.00
_cell_angle_gamma 90.00
_space_group_name_H-M_alt 'P 1'
_space_group_IT_number 1
_space_group_name_Hall 'P 1'
loop_
_atom_site_label
_atom_site_type_symbol
_atom_site_fract_x
_atom_site_fract_y
_atom_site_fract_z
Ir1 Ir 0.5000 0.5000 0.0000
Ir2 Ir 0.5000 0.0000 0.5000
Ir3 Ir 0.0000 0.5000 0.5000
V1 V 0.0000 0.0000 0.0000
# E	-10.27	eV/atom
# size of the total moment	0.00	μB/f.u.
# density	19.07	Mg/m³
# space group	No. 221

=====

Record 7
# CuHgPt PBEsol optimized geometry
data_CuHgPt
_chemical_formula_sum 'Cu1 Hg1 Pt1'
_cell_length_a 4.1800
_cell_length_b 4.1800
_cell_length_c 4.1800
_cell_angle_alpha 60.00
_cell_angle_beta 60.00
_cell_angle_gamma 60.00
_space_group_name_H-M_alt 'P 1'
_space_group_IT_number 1
_space_group_name_Hall 'P 1'
loop_
_atom_site_label
_atom_site_type_symbol
_atom_site_fract_x
_atom_site_fract_y
_atom_site_fract_z
Cu1 Cu 0.2500 0.2500 0.2500
Hg1 Hg 0.0000 0.0000 0.0000
Pt1 Pt 0.5000 0.5000 0.5000
# E	-3.78	eV/atom
# size of the total moment	0.00	μB/f.u.
# density	14.77	Mg/m³
# space group	No. 216

=====

Record 8
# Zr2ScNi PBEsol optimized geometry
data_Zr2ScNi
_chemical_formula_sum 'Zr2 Sc1 Ni1'
_cell_length_a 3.1905
_cell_length_b 3.1905
_cell_length_c 7.4587
_cell_angle_alpha 90.00
_cell_angle_beta 90.00
_cell_angle_gamma 89.96
_space_group_name_H-M_alt 'P 1'
_space_group_IT_number 1
_space_group_name_Hall 'P 1'
loop_
_atom_site_label
_atom_site_type_symbol
_atom_site_fract_x
_atom_site_fract_y
_atom_site_fract_z
Sc1 Sc 0.5000 0.5000 0.2931
Ni1 Ni 0.0000 0.0000 0.5062
Zr1 Zr 0.0000 0.0000 0.9921
Zr2 Zr 0.5000 0.5000 0.7086
# E	-7.94	eV/atom
# size of the total moment	0.00	μB/f.u.
# density	6.26	Mg/m³
# space group	No. 99
# energy relative to the lowest polymorph listed for this composition	0	kJ/mol of formula units

=====

Record 9
# NiAsSe2Br PBEsol optimized geometry
data_NiAsSe2Br
_chemical_formula_sum 'Ni1 As1 Se2 Br1'
_cell_length_a 4.6491
_cell_length_b 4.6491
_cell_length_c 4.6360
_cell_angle_alpha 90.00
_cell_angle_beta 90.00
_cell_angle_gamma 90.00
_space_group_name_H-M_alt 'P 1'
_space_group_IT_number 1
_space_group_name_Hall 'P 1'
loop_
_atom_site_label
_atom_site_type_symbol
_atom_site_fract_x
_atom_site_fract_y
_atom_site_fract_z
Ni1 Ni 0.0000 0.0000 0.0000
As1 As 0.5000 0.5000 0.5000
Se1 Se 0.0000 0.5000 0.0000
Se2 Se 0.5000 0.0000 0.0000
Br1 Br 0.0000 0.0000 0.5000
# E	-3.83	eV/atom
# size of the total moment	0.00	μB/f.u.
# density	6.16	Mg/m³
# formation energy (no corrections)	0.342	eV per atom
# space group	No. 123
# energy relative to the lowest polymorph listed for this composition	0	kJ/mol of formula units

=====

Record 10
# NaCa2Ga2 PBEsol optimized geometry
data_NaCa2Ga2
_chemical_formula_sum 'Na2 Ca4 Ga4'
_cell_length_a 3.6943
_cell_length_b 8.4194
_cell_length_c 8.4194
_cell_angle_alpha 90.00
_cell_angle_beta 90.00
_cell_angle_gamma 90.00
_space_group_name_H-M_alt 'P 1'
_space_group_IT_number 1
_space_group_name_Hall 'P 1'
loop_
_atom_site_label
_atom_site_type_symbol
_atom_site_fract_x
_atom_site_fract_y
_atom_site_fract_z
Na1 Na 0.0000 0.0000 0.0000
Na2 Na 0.0000 0.5000 0.5000
Ca1 Ca 0.5000 0.1812 0.6812
Ca2 Ca 0.5000 0.6812 0.8188
Ca3 Ca 0.5000 0.8188 0.3188
Ca4 Ca 0.5000 0.3188 0.1812
Ga1 Ga 0.0000 0.3894 0.8894
Ga2 Ga 0.0000 0.8894 0.6106
Ga3 Ga 0.0000 0.6106 0.1106
Ga4 Ga 0.0000 0.1106 0.3894
# E	-2.78	eV/atom
# size of the total moment	0.00	μB/f.u.
# density	3.08	Mg/m³
# space group	No. 127

=====

Record 11
# InMoPb2 PBEsol optimized geometry
data_InMoPb2
_chemical_formula_sum 'In1 Mo1 Pb2'
_cell_length_a 3.6164
_cell_length_b 4.9669
_cell_length_c 4.9669
_cell_angle_alpha 90.00
_cell_angle_beta 90.00
_cell_angle_gamma 90.00
_space_group_name_H-M_alt 'P 1'
_space_group_IT_number 1
_space_group_name_Hall 'P 1'
loop_
_atom_site_label
_atom_site_type_symbol
_atom_site_fract_x
_atom_site_fract_y
_atom_site_fract_z
In1 In 0.5000 0.5000 0.5000
Mo1 Mo 0.5000 0.0000 0.0000
Pb1 Pb 0.0000 0.0000 0.5000
Pb2 Pb 0.0000 0.5000 0.0000
# E	-4.98	eV/atom
# size of the total moment	0.64	μB/f.u.
# density	11.64	Mg/m³
# space group	No. 123

=====

Record 12
# LiNi2As PBEsol optimized geometry
data_LiNi2As
_chemical_formula_sum 'Li1 Ni2 As1'
_cell_length_a 2.7544
_cell_length_b 4.0080
_cell_length_c 4.5833
_cell_angle_alpha 90.00
_cell_angle_beta 107.49
_cell_angle_gamma 90.00
_space_group_name_H-M_alt 'P 1'
_space_group_IT_number 1
_space_group_name_Hall 'P 1'
loop_
_atom_site_label
_atom_site_type_symbol
_atom_site_fract_x
_atom_site_fract_y
_atom_site_fract_z
As1 As 0.3138 0.0000 0.6276
Li1 Li 0.6960 0.5000 0.3919
Ni1 Ni 0.0420 0.0000 0.0839
Ni2 Ni 0.4374 0.5000 0.8748
# E	-5.08	eV/atom
# size of the total moment	0.00	μB/f.u.
# density	6.86	Mg/m³
# space group	No. 38